No. 1
Compound: ZrIn2Sb
Source: Alexandria via LeMat-Bulk
Functional: meta-GGA SCAN
Structure: single point on PBEsol structure

abc: 5.9544 5.9544 5.9544
angles: 138.81 138.81 59.66
Positions (direct):
Zr  0.0000  0.0000  0.0000
In  0.2500  0.7500  0.5000
In  0.7500  0.2500  0.5000
Sb  0.5000  0.5000  0.0000

Values from the calculation:
uncorrected formation energy: -0.229 eV/atom
N(E_F): 1.979 states/eV per cell
final energy: -33.9124 eV per atom
space-group type: I4/mmm
size of the total moment: 0.000 μB per atom

---

No. 2
Compound: Zr2Os2W
Source: Alexandria via LeMat-Bulk
Functional: meta-GGA SCAN
Structure: single point on PBEsol structure

abc: 6.3062 6.3062 6.3062
angles: 141.49 141.49 55.60
Positions (direct):
Zr  0.2500  0.7500  0.5000
Zr  0.7500  0.2500  0.5000
Os  0.1051  0.1051  0.0000
Os  0.8949  0.8949  0.0000
W  0.5000  0.5000  0.0000

Values from the calculation:
formation enthalpy at 0 K: 3.87 eV/f.u.
N(E_F): 6.647 states/eV per cell
final energy: -54.1952 eV per atom
space-group type: I4/mmm
size of the total moment: 0.001 μB per atom

---

No. 3
Compound: CaLa2TiAl
Source: Alexandria via LeMat-Bulk
Functional: meta-GGA SCAN
Structure: single point on PBEsol structure

abc: 5.5636 5.5636 4.7232
angles: 90.00 90.00 90.00
Positions (direct):
Ca  0.0000  0.0000  0.0000
La  0.0000  0.5000  0.0000
La  0.5000  0.0000  0.0000
Ti  0.0000  0.0000  0.5000
Al  0.5000  0.5000  0.5000

Values from the calculation:
formation enthalpy at 0 K: 5.72 eV/f.u.
N(E_F): 6.987 states/eV per cell
final energy: -22.7874 eV per atom
space-group type: P4/mmm
size of the total moment: 0.335 μB per atom